Here is TlCrSb2 after structural relaxation from the Alexandria database. Energies are from GGA-PBEsol.

Output
**Energy above the lowest structure with this stoichiometry**: 0.169 eV per atom
**Uncorrected formation energy**: 0.417 eV/atom
**Space-group type**: No. 139
**Crystal system**: tetragonal
**Total moment**: 3.8 μB/cell

Structure (POSCAR):
```
TlCrSb2
1.0
-2.358 2.358 4.252
2.358 -2.358 4.252
2.358 2.358 -4.252
Tl Cr Sb
1 1 2
direct
0.000 0.000 0.000
0.500 0.500 0.000
0.250 0.750 0.500
0.750 0.250 0.500
```